(a)
A relaxed Th2Tl3 crystal. Source: the Alexandria database, functional PBE-GGA.

Unit cell a=4.168 b=4.168 c=17.074 alpha=90.00 beta=90.00 gamma=90.00
Element x y z (fractional)
Th  0.000  0.000  0.098
Th  0.000  0.000  0.297
Th  0.000  0.000  0.703
Th  0.000  0.000  0.902
Tl  0.000  0.000  0.500
Tl  0.500  0.500  0.000
Tl  0.500  0.500  0.197
Tl  0.500  0.500  0.399
Tl  0.500  0.500  0.601
Tl  0.500  0.500  0.803

N(E_F) = 9.50 states/eV/cell
Spin magnetization = 0.00 Bohr magnetons per cell



(b)
A relaxed Th2Tl3 crystal. Source: the Alexandria database, functional PBE-GGA.

Unit cell a=7.807 b=7.807 c=4.786 alpha=90.00 beta=90.00 gamma=90.00
Element x y z (fractional)
Th  0.123  0.695  0.000
Th  0.305  0.123  0.000
Th  0.695  0.877  0.000
Th  0.877  0.305  0.000
Tl  0.000  0.000  0.500
Tl  0.189  0.397  0.500
Tl  0.397  0.811  0.500
Tl  0.500  0.500  0.000
Tl  0.603  0.189  0.500
Tl  0.811  0.603  0.500

N(E_F) = 8.24 states/eV/cell
Spin magnetization = 0.00 Bohr magnetons per cell



Relative energies in eV/atom: (a) 0.088; (b) 0.000



(a)
A relaxed Th5Tl crystal. Source: the Alexandria database, functional PBE-GGA.

Unit cell a=8.124 b=8.124 c=4.901 alpha=90.00 beta=90.00 gamma=144.41
Element x y z (fractional)
Th  0.000  0.000  0.000
Th  0.163  0.837  0.500
Th  0.335  0.665  0.000
Th  0.665  0.335  0.000
Th  0.837  0.163  0.500
Tl  0.500  0.500  0.500

N(E_F) = 7.56 states/eV/cell
Spin magnetization = 0.00 Bohr magnetons per cell



(b)
A relaxed Th5Tl crystal. Source: the Alexandria database, functional PBE-GGA.

Unit cell a=4.256 b=4.256 c=10.508 alpha=90.00 beta=90.00 gamma=90.00
Element x y z (fractional)
Th  0.000  0.000  0.000
Th  0.000  0.000  0.344
Th  0.000  0.000  0.656
Th  0.500  0.500  0.164
Th  0.500  0.500  0.836
Tl  0.500  0.500  0.500

N(E_F) = 7.72 states/eV/cell
Spin magnetization = 0.00 Bohr magnetons per cell



Relative energies in eV/atom: (a) 0.000; (b) 0.058



(a)
A relaxed Th5Tl3 crystal. Source: the Alexandria database, functional PBE-GGA.

Unit cell a=8.541 b=8.055 c=5.876 alpha=73.77 beta=64.89 gamma=41.35
Element x y z (fractional)
Th  0.000  0.000  0.000
Th  0.126  0.126  0.374
Th  0.374  0.374  0.126
Th  0.626  0.626  0.874
Th  0.874  0.874  0.626
Tl  0.248  0.248  0.752
Tl  0.500  0.500  0.500
Tl  0.752  0.752  0.248

N(E_F) = 9.60 states/eV/cell
Spin magnetization = 0.00 Bohr magnetons per cell



(b)
A relaxed Th5Tl3 crystal. Source: the Alexandria database, functional PBE-GGA.

Unit cell a=6.920 b=6.920 c=5.055 alpha=90.00 beta=90.00 gamma=94.53
Element x y z (fractional)
Th  0.000  0.000  0.000
Th  0.000  0.500  0.000
Th  0.256  0.256  0.500
Th  0.500  0.000  0.000
Th  0.744  0.744  0.500
Tl  0.241  0.759  0.500
Tl  0.500  0.500  0.000
Tl  0.759  0.241  0.500

N(E_F) = 9.41 states/eV/cell
Spin magnetization = 0.00 Bohr magnetons per cell



Relative energies in eV/atom: (a) 0.015; (b) 0.000



(a)
A relaxed TmTh2Tl crystal. Source: the Alexandria database, functional PBE-GGA.

Unit cell a=5.554 b=5.554 c=5.554 alpha=60.00 beta=60.00 gamma=60.00
Element x y z (fractional)
Tm  0.000  0.000  0.000
Th  0.250  0.250  0.250
Th  0.750  0.750  0.750
Tl  0.500  0.500  0.500

N(E_F) = 5.72 states/eV/cell
Spin magnetization = 0.00 Bohr magnetons per cell



(b)
A relaxed TmTh2Tl crystal. Source: the Alexandria database, functional PBE-GGA.

Unit cell a=7.152 b=4.900 c=7.477 alpha=90.00 beta=112.77 gamma=90.00
Element x y z (fractional)
Tm  0.066  0.250  0.355
Tm  0.934  0.750  0.645
Th  0.313  0.250  0.881
Th  0.421  0.750  0.617
Th  0.579  0.250  0.383
Th  0.687  0.750  0.119
Tl  0.200  0.750  0.135
Tl  0.800  0.250  0.865

N(E_F) = 9.36 states/eV/cell
Spin magnetization = 0.00 Bohr magnetons per cell



(c)
A relaxed TmTh2Tl crystal. Source: the Alexandria database, functional PBE-GGA.

Unit cell a=12.497 b=12.497 c=12.497 alpha=15.65 beta=15.65 gamma=15.65
Element x y z (fractional)
Tm  0.000  0.000  0.000
Th  0.089  0.089  0.089
Th  0.911  0.911  0.911
Tl  0.500  0.500  0.500

N(E_F) = 5.02 states/eV/cell
Spin magnetization = 0.00 Bohr magnetons per cell



Relative energies in eV/atom: (a) 0.157; (b) 0.000; (c) 0.238



(a)
A relaxed TmTh2Tl crystal. Source: the Alexandria database, functional PBE-GGA.

Unit cell a=4.699 b=4.688 c=11.474 alpha=90.00 beta=101.89 gamma=90.00
Element x y z (fractional)
Tm  0.194  0.250  0.387
Tm  0.806  0.750  0.613
Th  0.062  0.750  0.124
Th  0.439  0.750  0.878
Th  0.561  0.250  0.122
Th  0.938  0.250  0.876
Tl  0.327  0.250  0.657
Tl  0.673  0.750  0.343

N(E_F) = 7.75 states/eV/cell
Spin magnetization = 0.00 Bohr magnetons per cell



(b)
A relaxed TmTh2Tl crystal. Source: the Alexandria database, functional PBE-GGA.

Unit cell a=4.233 b=4.233 c=6.868 alpha=90.00 beta=90.00 gamma=90.00
Element x y z (fractional)
Tm  0.000  0.000  0.000
Th  0.500  0.500  0.263
Th  0.500  0.500  0.737
Tl  0.000  0.000  0.500

N(E_F) = 5.87 states/eV/cell
Spin magnetization = 0.00 Bohr magnetons per cell



Relative energies in eV/atom: (a) 0.000; (b) 0.082



(a)
A relaxed TmTh2Tl crystal. Source: the Alexandria database, functional PBE-GGA.

Unit cell a=4.807 b=4.807 c=5.097 alpha=90.00 beta=90.00 gamma=90.00
Element x y z (fractional)
Tm  0.000  0.000  0.000
Th  0.000  0.500  0.500
Th  0.500  0.000  0.500
Tl  0.500  0.500  0.000

N(E_F) = 4.75 states/eV/cell
Spin magnetization = 0.00 Bohr magnetons per cell



(b)
A relaxed TmTh2Tl crystal. Source: the Alexandria database, functional PBE-GGA.

Unit cell a=11.706 b=11.706 c=11.706 alpha=17.31 beta=17.31 gamma=17.31
Element x y z (fractional)
Tm  0.000  0.000  0.000
Th  0.418  0.418  0.418
Th  0.582  0.582  0.582
Tl  0.166  0.166  0.166

N(E_F) = 5.54 states/eV/cell
Spin magnetization = 0.00 Bohr magnetons per cell



Relative energies in eV/atom: (a) 0.000; (b) 0.111



(a)
A relaxed TmTh3Tl4 crystal. Source: the Alexandria database, functional PBE-GGA.

Unit cell a=3.564 b=3.564 c=17.969 alpha=90.00 beta=90.00 gamma=90.00
Element x y z (fractional)
Tm  0.000  0.000  0.000
Th  0.000  0.000  0.244
Th  0.000  0.000  0.500
Th  0.000  0.000  0.756
Tl  0.500  0.500  0.116
Tl  0.500  0.500  0.372
Tl  0.500  0.500  0.628
Tl  0.500  0.500  0.884

N(E_F) = 8.68 states/eV/cell
Spin magnetization = 0.12 Bohr magnetons per cell



(b)
A relaxed TmTh3Tl4 crystal. Source: the Alexandria database, functional PBE-GGA.

Unit cell a=9.831 b=6.896 c=6.815 alpha=90.00 beta=90.00 gamma=90.00
Element x y z (fractional)
Tm  0.000  0.000  0.000
Tm  0.500  0.000  0.500
Th  0.000  0.500  0.999
Th  0.250  0.265  0.250
Th  0.250  0.735  0.750
Th  0.500  0.500  0.499
Th  0.750  0.265  0.250
Th  0.750  0.735  0.750
Tl  0.000  0.000  0.500
Tl  0.000  0.500  0.499
Tl  0.250  0.236  0.750
Tl  0.250  0.764  0.250
Tl  0.500  0.000  0.000
Tl  0.500  0.500  0.999
Tl  0.750  0.236  0.750
Tl  0.750  0.764  0.250

N(E_F) = 16.85 states/eV/cell
Spin magnetization = 0.00 Bohr magnetons per cell



Relative energies in eV/atom: (a) 0.000; (b) 0.072



(a)
A relaxed Tm4ThTl2 crystal. Source: the Alexandria database, functional PBE-GGA.

Unit cell a=10.527 b=10.527 c=10.527 alpha=28.03 beta=28.03 gamma=28.03
Element x y z (fractional)
Tm  0.114  0.114  0.114
Tm  0.293  0.293  0.293
Tm  0.707  0.707  0.707
Tm  0.886  0.886  0.886
Th  0.500  0.500  0.500
Tl  0.396  0.396  0.396
Tl  0.604  0.604  0.604

N(E_F) = 8.49 states/eV/cell
Spin magnetization = 0.04 Bohr magnetons per cell



(b)
A relaxed Tm4ThTl2 crystal. Source: the Alexandria database, functional PBE-GGA.

Unit cell a=6.744 b=6.744 c=4.722 alpha=90.00 beta=90.00 gamma=98.78
Element x y z (fractional)
Tm  0.000  0.500  0.500
Tm  0.205  0.205  0.000
Tm  0.500  0.000  0.500
Tm  0.795  0.795  0.000
Th  0.500  0.500  0.500
Tl  0.267  0.733  0.000
Tl  0.733  0.267  0.000

N(E_F) = 9.18 states/eV/cell
Spin magnetization = 0.00 Bohr magnetons per cell



Relative energies in eV/atom: (a) 0.199; (b) 0.000



(a)
A relaxed YTh2Tl crystal. Source: the Alexandria database, functional PBE-GGA.

Unit cell a=4.809 b=4.809 c=5.165 alpha=90.00 beta=90.00 gamma=90.00
Element x y z (fractional)
Y  0.000  0.000  0.000
Th  0.000  0.500  0.500
Th  0.500  0.000  0.500
Tl  0.500  0.500  0.000

N(E_F) = 4.62 states/eV/cell
Spin magnetization = 0.00 Bohr magnetons per cell



(b)
A relaxed YTh2Tl crystal. Source: the Alexandria database, functional PBE-GGA.

Unit cell a=11.784 b=11.784 c=11.784 alpha=17.29 beta=17.29 gamma=17.29
Element x y z (fractional)
Y  0.000  0.000  0.000
Th  0.418  0.418  0.418
Th  0.580  0.580  0.580
Tl  0.166  0.166  0.166

N(E_F) = 5.87 states/eV/cell
Spin magnetization = 0.00 Bohr magnetons per cell



Relative energies in eV/atom: (a) 0.000; (b) 0.131



(a)
A relaxed YTh2Tl crystal. Source: the Alexandria database, functional PBE-GGA.

Unit cell a=12.578 b=12.578 c=12.578 alpha=15.62 beta=15.62 gamma=15.62
Element x y z (fractional)
Y  0.000  0.000  0.000
Th  0.090  0.090  0.090
Th  0.910  0.910  0.910
Tl  0.500  0.500  0.500

N(E_F) = 5.32 states/eV/cell
Spin magnetization = 0.00 Bohr magnetons per cell



(b)
A relaxed YTh2Tl crystal. Source: the Alexandria database, functional PBE-GGA.

Unit cell a=6.150 b=5.673 c=6.905 alpha=90.00 beta=91.46 gamma=90.00
Element x y z (fractional)
Y  0.164  0.250  0.498
Y  0.836  0.750  0.502
Th  0.140  0.250  0.003
Th  0.375  0.750  0.801
Th  0.625  0.250  0.199
Th  0.860  0.750  0.997
Tl  0.331  0.750  0.295
Tl  0.669  0.250  0.705

N(E_F) = 8.71 states/eV/cell
Spin magnetization = 0.00 Bohr magnetons per cell



(c)
A relaxed YTh2Tl crystal. Source: the Alexandria database, functional PBE-GGA.

Unit cell a=4.252 b=4.252 c=6.899 alpha=90.00 beta=90.00 gamma=90.00
Element x y z (fractional)
Y  0.000  0.000  0.000
Th  0.500  0.500  0.267
Th  0.500  0.500  0.733
Tl  0.000  0.000  0.500

N(E_F) = 6.27 states/eV/cell
Spin magnetization = 0.00 Bohr magnetons per cell



Relative energies in eV/atom: (a) 0.253; (b) 0.000; (c) 0.086



(a)
A relaxed Th2TlZn3 crystal. Source: the Alexandria database, functional PBE-GGA.

Unit cell a=8.518 b=8.518 c=8.518 alpha=153.46 beta=148.51 gamma=41.64
Element x y z (fractional)
Th  0.000  0.000  0.000
Th  0.787  0.287  0.500
Tl  0.606  0.606  0.000
Zn  0.192  0.692  0.500
Zn  0.347  0.847  0.500
Zn  0.436  0.436  0.000

N(E_F) = 6.14 states/eV/cell
Spin magnetization = 0.00 Bohr magnetons per cell



(b)
A relaxed Th2TlZn3 crystal. Source: the Alexandria database, functional PBE-GGA.

Unit cell a=9.317 b=8.895 c=5.988 alpha=74.66 beta=67.03 gamma=38.30
Element x y z (fractional)
Th  0.246  0.754  0.754
Th  0.250  0.250  0.250
Th  0.750  0.750  0.750
Th  0.754  0.246  0.246
Tl  0.334  0.334  0.666
Tl  0.666  0.666  0.334
Zn  0.161  0.161  0.839
Zn  0.162  0.678  0.322
Zn  0.322  0.838  0.162
Zn  0.678  0.162  0.838
Zn  0.838  0.322  0.678
Zn  0.839  0.839  0.161

N(E_F) = 10.40 states/eV/cell
Spin magnetization = 0.00 Bohr magnetons per cell



Relative energies in eV/atom: (a) 0.038; (b) 0.000